Computed, not measured: a geometry-optimized Gd2HoP3 structure at the PBE-GGA level of DFT.

Geometry as POSCAR:
```
Gd2HoP3
1.0
4.028 0.000 0.000
-2.014 3.489 0.000
0.000 0.000 9.862
Gd Ho P
2 1 3
direct
0.333 0.667 0.332
0.667 0.333 0.668
0.000 0.000 0.000
0.000 0.000 0.500
0.333 0.667 0.837
0.667 0.333 0.163
```

Output
spin magnetization: 0.00 μB per atom
space group: No. 164
E_tot: -6.628 eV/atom